[1]
A relaxed structure of LaAlNi2. Source: the Alexandria database, functional GGA-PBE.

Formation energy from the elements, meV/atom: -346

Unit cell a=4.154 b=6.620 c=6.587 alpha=148.90 beta=129.16 gamma=51.03
Fractional positions:
Ni: 0.003 0.185 0.187
Ni: 0.791 0.048 0.338
Al: 0.390 0.491 0.881
La: 0.317 0.776 0.594

=====

[2]
A relaxed structure of CaCuP2. Source: the Alexandria database, functional GGA-PBE.

Formation energy from the elements, meV/atom: -401

Unit cell a=4.339 b=4.275 c=4.305 alpha=93.73 beta=90.00 gamma=90.00
Fractional positions:
Ca: 0.000 0.495 0.457
Cu: 0.500 0.081 0.775
P: 0.000 0.977 0.994
P: 0.500 0.947 0.274

=====

[3]
A relaxed structure of LaTa2OsS. Source: the Alexandria database, functional GGA-PBE.

Uncorrected formation energy, eV per atom: 0.658

Unit cell a=4.771 b=6.007 c=4.771 alpha=90.00 beta=90.00 gamma=90.00
Fractional positions:
S: 0.500 0.500 0.500
La: 0.000 0.500 0.000
Os: 0.000 0.000 0.000
Ta: 0.000 0.000 0.500
Ta: 0.500 0.000 0.000